1.
The following is a DFT calculation (PBE+U) of Fe2CuO4 after structural relaxation.

a b c (Å): 6.019 6.019 6.019
angles (deg): 122.93 122.11 85.69
Last column: magnetic moment on the atom in μB.
Fractional positions:
1 Fe 0.500 0.500 0.000  1.28
2 Fe 0.607 0.857 0.750  4.24
3 Fe 0.393 0.143 0.250  4.24
4 Fe 0.000 0.500 0.500  1.28
5 Cu 0.000 0.500 0.000  0.65
6 Cu 0.000 0.000 0.500  0.65
7 O 0.257 0.276 0.981  0.23
8 O 0.264 0.747 0.982  0.09
9 O 0.205 0.724 0.481  0.23
10 O 0.264 0.282 0.518  0.09
11 O 0.736 0.253 0.018  0.09
12 O 0.743 0.724 0.019  0.23
13 O 0.736 0.718 0.482  0.09
14 O 0.795 0.276 0.519  0.23

## Properties
Total moment ... 7.0 μB per formula unit
Distance to the lowest polymorph of the same formula ... 174 kJ/mol of formula units
Fermi-level density of states ... 2.01 states/eV/cell
Calculated total energy ... -83.18 eV per cell
SG ... Imma

2.
The following is a DFT calculation (PBE+U) of Fe3CuO after structural relaxation.

a b c (Å): 4.618 4.618 4.618
angles (deg): 90.00 90.00 90.00
Last column: magnetic moment on the atom in μB.
Fractional positions:
1 O 0.500 0.500 0.500  0.58
2 Fe 0.000 0.500 0.000  3.73
3 Fe 0.000 0.000 0.500  3.71
4 Fe 0.500 0.000 0.000  3.69
5 Cu 0.000 0.000 0.000  0.09

## Properties
Total moment ... 12.0 μB per formula unit
Fermi-level density of states ... 3.29 states/eV/cell
Calculated total energy ... -19.45 eV per cell
SG ... Pm-3m

3.
The following is a DFT calculation (PBE+U) of Fe2CuO4 after structural relaxation.

a b c (Å): 6.010 6.010 6.011
angles (deg): 119.99 119.99 90.00
Last column: magnetic moment on the atom in μB.
Fractional positions:
1 Fe 0.875 0.625 0.250  4.29
2 Fe 0.375 0.125 0.750  4.29
3 Fe 0.375 0.625 0.250  4.29
4 Fe 0.375 0.625 0.750  4.29
5 Cu 0.000 0.000 0.000  -0.45
6 Cu 0.750 0.250 0.500  -0.45
7 O 0.615 0.385 0.229  0.17
8 O 0.615 0.845 0.229  0.17
9 O 0.615 0.385 0.771  0.17
10 O 0.135 0.405 0.271  0.17
11 O 0.135 0.865 0.271  0.17
12 O 0.155 0.385 0.771  0.17
13 O 0.595 0.865 0.729  0.17
14 O 0.135 0.865 0.729  0.17

## Properties
Total moment ... 9.0 μB per formula unit
Distance to the lowest polymorph of the same formula ... 0 kJ/mol of formula units
Fermi-level density of states ... 9.73 states/eV/cell
Calculated total energy ... -86.79 eV per cell
SG ... Fd-3m

4.
The following is a DFT calculation (PBE+U) of FeCuO3 after structural relaxation.

a b c (Å): 5.211 6.391 7.406
angles (deg): 111.38 90.00 90.00
Last column: magnetic moment on the atom in μB.
Fractional positions:
1 Fe 0.176 0.393 0.119  4.32
2 Fe 0.324 0.893 0.619  4.32
3 Fe 0.676 0.107 0.381  4.32
4 Fe 0.824 0.607 0.881  4.32
5 Cu 0.789 0.628 0.524  0.06
6 Cu 0.711 0.128 0.024  0.06
7 Cu 0.289 0.872 0.976  0.06
8 Cu 0.211 0.372 0.476  0.06
9 O 0.476 0.341 0.301  0.18
10 O 0.115 0.620 0.407  0.14
11 O 0.024 0.841 0.801  0.18
12 O 0.673 0.878 0.492  0.19
13 O 0.385 0.120 0.907  0.14
14 O 0.173 0.622 0.008  0.19
15 O 0.827 0.378 0.992  0.19
16 O 0.615 0.880 0.093  0.14
17 O 0.327 0.122 0.508  0.19
18 O 0.976 0.159 0.199  0.18
19 O 0.885 0.380 0.593  0.14
20 O 0.524 0.659 0.699  0.18

## Properties
Total moment ... 5.0 μB per formula unit
Calculated total energy ... -114.51 eV per cell
SG ... P2_1/c

5.
The following is a DFT calculation (PBE+U) of FeCuO3 after structural relaxation.

a b c (Å): 3.731 3.731 3.731
angles (deg): 90.00 90.00 90.00
Last column: magnetic moment on the atom in μB.
Fractional positions:
1 O 0.000 0.500 0.000  0.29
2 O 0.000 0.000 0.500  0.18
3 O 0.500 0.000 0.000  0.28
4 Fe 0.000 0.000 0.000  3.77
5 Cu 0.500 0.500 0.500  0.36

## Properties
Total moment ... 5.0 μB per formula unit
Fermi-level density of states ... 4.51 states/eV/cell
Calculated total energy ... -26.13 eV per cell
SG ... Pm-3m

6.
The following is a DFT calculation (PBE+U) of FeCuO3 after structural relaxation.

a b c (Å): 3.666 3.666 3.666
angles (deg): 90.00 90.00 90.00
Last column: magnetic moment on the atom in μB.
Fractional positions:
1 O 0.000 0.500 0.000  0.22
2 O 0.000 0.000 0.500  0.14
3 O 0.500 0.000 0.000  0.17
4 Fe 0.500 0.500 0.500  4.09
5 Cu 0.000 0.000 0.000  0.02

## Properties
Total moment ... 4.7 μB per formula unit
Fermi-level density of states ... 2.69 states/eV/cell
Calculated total energy ... -25.29 eV per cell
SG ... Pm-3m

Q: Which of these has the lowest total moment?
A: number 6